# 1
Material: CdAgI
Method: DFT, PBE
State: optimized geometry

The structure in POSCAR format:
```
CdAgI
1.0
-4.0282 -2.8381 2.4221
2.4860 -0.6225 3.4051
-5.1358 13.1577 6.1551
I Ag Cd
4 4 4
Direct
0.4102 0.0000 0.7619 I
0.4102 0.5000 0.2619 I
0.9098 0.0000 0.4112 I
0.9098 0.5000 0.9112 I
0.4336 0.0000 0.4881 Ag
0.4336 0.5000 0.9881 Ag
0.1158 0.0000 0.0311 Ag
0.1158 0.5000 0.5311 Ag
0.6035 0.0000 0.1028 Cd
0.6035 0.5000 0.6028 Cd
0.0354 0.0000 0.2103 Cd
0.0354 0.5000 0.7103 Cd
```

magnetic moment: 0.000 μB per atom
formation energy from raw total energies: -102 meV/atom
energy above the lowest structure with this stoichiometry: 50 meV per atom
crystal system: monoclinic



# 2
Material: Be5Si
Method: DFT, PBE
State: optimized geometry

The structure in POSCAR format:
```
Be5Si
1.0
0.1284 1.3966 -4.0636
-3.4243 0.8471 2.4568
1.5156 2.9986 1.0785
Be Si
5 1
Direct
0.3333 0.6667 0.0000 Be
0.6667 0.3333 0.0000 Be
0.5000 0.0000 0.5000 Be
0.0000 0.5000 0.5000 Be
0.5000 0.5000 0.5000 Be
0.0000 0.0000 0.0000 Si
```

magnetic moment: 0.000 μB per atom
formation energy from raw total energies: 295 meV/atom
energy above the lowest structure with this stoichiometry: 50 meV per atom
crystal system: hexagonal



# 3
Material: BaIn2Te
Method: DFT, PBE
State: optimized geometry

The structure in POSCAR format:
```
BaIn2Te
1.0
-6.9086 0.9824 -6.7892
-8.6917 -1.7288 -4.0316
-8.8273 2.4619 -3.2872
Ba In Te
1 2 1
Direct
0.7500 0.7500 0.7500 Ba
0.9856 0.9856 0.9856 In
0.5144 0.5144 0.5144 In
0.2500 0.2500 0.2500 Te
```

magnetic moment: 0.117 μB per atom
formation energy from raw total energies: -245 meV/atom
crystal system: trigonal



# 4
Material: Rb2Ho2PdO6
Method: DFT, PBE
State: optimized geometry

The structure in POSCAR format:
```
Rb2Ho2PdO6
1.0
5.7704 -0.0008 0.0904
-2.8528 5.0159 0.0904
-0.9972 -1.7141 6.5928
Rb Ho Pd O
2 2 1 6
Direct
0.8365 0.1635 0.0000 Rb
0.1635 0.8365 0.0000 Rb
0.3350 0.6650 0.5000 Ho
0.6650 0.3350 0.5000 Ho
0.0000 0.0000 0.5000 Pd
0.7442 0.7442 0.6668 O
0.0483 0.3626 0.6649 O
0.2558 0.2558 0.3332 O
0.3626 0.0483 0.6649 O
0.9517 0.6374 0.3351 O
0.6374 0.9517 0.3351 O
```

magnetic moment: 0.000 μB per atom
formation energy from raw total energies: -2094 meV/atom
crystal system: monoclinic



# 5
Material: WAuBr2
Method: DFT, PBE
State: optimized geometry

The structure in POSCAR format:
```
WAuBr2
1.0
-5.7979 0.9397 5.0529
-1.5876 -2.3280 7.2174
3.9323 3.5225 -5.6710
Au Br W
1 2 1
Direct
0.2500 0.7500 0.5000 Au
0.8978 0.8978 0.0000 Br
0.6022 0.6022 0.0000 Br
0.7500 0.2500 0.5000 W
```

magnetic moment: 0.242 μB per atom
formation energy from raw total energies: 243 meV/atom
energy above the lowest structure with this stoichiometry: 25 meV per atom
crystal system: orthorhombic



# 6
Material: Pu2Sc
Method: DFT, PBE
State: optimized geometry

The structure in POSCAR format:
```
Pu2Sc
1.0
-5.9976 -0.3767 -0.2263
-3.1890 -0.2855 5.0905
-3.3730 4.6789 1.7015
Sc Pu
2 4
Direct
0.0000 0.0000 0.0000 Sc
0.2500 0.2500 0.2500 Sc
0.1250 0.6250 0.6250 Pu
0.6250 0.1250 0.6250 Pu
0.6250 0.6250 0.6250 Pu
0.6250 0.6250 0.1250 Pu
```

magnetic moment: 3.719 μB per atom
energy above the lowest structure with this stoichiometry: 77 meV per atom
formation energy: 0.301 eV per atom
crystal system: cubic



Question: What is the magnetic moment in the sixth record?
Answer: 3.719 μB per atom